Record 1
The following is a DFT calculation (PBE) of an optimized crystal structure of Tl3Bi3Pb.

Unit cell a=8.533 b=8.533 c=8.533 alpha=90.00 beta=90.00 gamma=90.00
Space group Pm-3n (No. 223)
One atom of each set of equivalent atoms:
Tl 0.000 0.250 0.500 (multiplicity 6)
Bi 0.000 0.500 0.250 (multiplicity 6)
Pb 0.000 0.000 0.000 (multiplicity 2)

Properties
Formation energy ... 0.50 eV per atom
Crystal system ... cubic

=====

Record 2
The following is a DFT calculation (PBE) of an optimized crystal structure of Pm4Nd5Tm.

Unit cell a=3.664 b=3.664 c=25.678 alpha=90.00 beta=90.00 gamma=90.00
Space group P4/mmm (No. 123)
One atom of each set of equivalent atoms:
Pm 0.000 0.000 0.101 (multiplicity 2)
Pm 0.000 0.000 0.303 (multiplicity 2)
Nd 0.500 0.500 0.000 (multiplicity 1)
Nd 0.500 0.500 0.202 (multiplicity 2)
Nd 0.500 0.500 0.404 (multiplicity 2)
Tm 0.000 0.000 0.500 (multiplicity 1)

Properties
Formation energy ... 0.02 eV per atom
Crystal system ... tetragonal

=====

Record 3
The following is a DFT calculation (PBE) of an optimized crystal structure of TaIn2W.

Unit cell a=3.0204 b=3.0204 c=29.2640 alpha=90.00 beta=90.00 gamma=120.00
Space group R-3m (No. 166, hexagonal axes)
One atom of each set of equivalent atoms:
Ta 0.0000 0.0000 0.0000 (multiplicity 3)
In 0.0000 0.0000 0.2485 (multiplicity 6)
W 0.0000 0.0000 0.5000 (multiplicity 3)

Properties
Formation energy ... 0.50 eV per atom
Crystal system ... trigonal

=====

Record 4
The following is a DFT calculation (PBE) of an optimized crystal structure of AgAsPd.

Unit cell a=3.380 b=3.380 c=9.210 alpha=90.00 beta=90.00 gamma=90.00
Space group I4mm (No. 107)
One atom of each set of equivalent atoms:
Ag 0.000 0.000 0.000 (multiplicity 2)
As 0.000 0.000 0.300 (multiplicity 2)
Pd 0.000 0.000 0.688 (multiplicity 2)

Properties
Formation energy ... -0.13 eV per atom
Crystal system ... tetragonal

=====

Record 5
The following is a DFT calculation (PBE) of an optimized crystal structure of NaSnPO2.

Unit cell a=4.129 b=4.129 c=5.225 alpha=90.00 beta=90.00 gamma=90.00
Space group P4/mmm (No. 123)
One atom of each set of equivalent atoms:
Na 0.000 0.000 0.000 (multiplicity 1)
Sn 0.500 0.500 0.500 (multiplicity 1)
P 0.000 0.000 0.500 (multiplicity 1)
O 0.000 0.500 0.000 (multiplicity 2)

Properties
Energy relative to the elements, uncorrected ... 0.465 eV per atom
Crystal system ... tetragonal

=====

Record 6
The following is a DFT calculation (PBE) of an optimized crystal structure of CdCu2Re.

Unit cell a=2.676 b=4.906 c=9.414 alpha=90.00 beta=90.00 gamma=90.00
Space group Immm (No. 71)
One atom of each set of equivalent atoms:
Cd 0.000 0.000 0.000 (multiplicity 2)
Cu 0.000 0.500 0.240 (multiplicity 4)
Re 0.000 0.000 0.500 (multiplicity 2)

Properties
Formation energy ... 0.55 eV per atom
Crystal system ... orthorhombic

=====

Record 7
The following is a DFT calculation (PBE) of an optimized crystal structure of Cd2PbAu8.

Unit cell a=15.439 b=4.166 c=6.897 alpha=90.00 beta=104.29 gamma=90.00
Space group C2/m (No. 12)
One atom of each set of equivalent atoms:
Cd 0.224 0.000 0.151 (multiplicity 4)
Pb 0.000 0.500 0.500 (multiplicity 2)
Au 0.044 0.000 0.213 (multiplicity 4)
Au 0.097 0.500 0.965 (multiplicity 4)
Au 0.144 0.000 0.706 (multiplicity 4)
Au 0.182 0.500 0.415 (multiplicity 4)

Properties
Formation energy ... -0.06 eV per atom
Crystal system ... monoclinic

=====

Record 8
The following is a DFT calculation (PBE) of an optimized crystal structure of ZnRu2Se.

Unit cell a=2.9600 b=2.9600 c=23.6312 alpha=90.00 beta=90.00 gamma=120.00
Space group R-3m (No. 166, hexagonal axes)
One atom of each set of equivalent atoms:
Zn 0.0000 0.0000 0.0000 (multiplicity 3)
Ru 0.0000 0.0000 0.2460 (multiplicity 6)
Se 0.0000 0.0000 0.5000 (multiplicity 3)

Properties
Energy relative to the elements, uncorrected ... 0.192 eV per atom
Crystal system ... trigonal

=====

Values of Fermi-level density of states, in order: 12.8; 14.5; 12.3; 2.3; 4.1; 4.2; 7.2; 14.7, all in states/eV/cell.